DFT (PBE-GGA) results for a relaxed Ca3Ho2PaBi6 crystal.

Results
**E_form**: -685.9 meV/atom
**Volume**: 398.47 Å³/cell

a = 7.845 Å, b = 7.845 Å, c = 7.921 Å
α = 99.50°, β = 99.50°, γ = 120.01°
Sites, in units of the cell vectors:
1 Ca 0.000 0.000 0.000
2 Ca 0.332 0.668 0.000
3 Ca 0.668 0.332 0.000
4 Ho 0.166 0.834 0.500
5 Ho 0.834 0.166 0.500
6 Pa 0.500 0.500 0.500
7 Bi 0.091 0.421 0.263
8 Bi 0.249 0.249 0.738
9 Bi 0.421 0.091 0.263
10 Bi 0.579 0.909 0.737
11 Bi 0.751 0.751 0.262
12 Bi 0.909 0.579 0.737



DFT (PBE-GGA) results for a relaxed CaHoBiPd crystal.

Results
**E_form**: -695.4 meV/atom
**Volume**: 101.81 Å³/cell

a = 5.241 Å, b = 5.241 Å, c = 5.241 Å
α = 60.00°, β = 60.00°, γ = 60.00°
Sites, in units of the cell vectors:
1 Ca 0.000 0.000 0.000
2 Ho 0.500 0.500 0.500
3 Bi 0.250 0.250 0.250
4 Pd 0.750 0.750 0.750



DFT (PBE-GGA) results for a relaxed CaPm2HoBi4 crystal.

Results
**E_form**: -831.2 meV/atom
**Volume**: 268.04 Å³/cell

a = 7.876 Å, b = 4.542 Å, c = 7.940 Å
α = 90.00°, β = 109.30°, γ = 90.00°
Sites, in units of the cell vectors:
1 Ca 0.000 0.000 0.000
2 Pm 0.500 0.000 0.500
3 Pm 0.500 0.500 0.000
4 Ho 0.000 0.500 0.500
5 Bi 0.245 0.000 0.744
6 Bi 0.248 0.500 0.254
7 Bi 0.752 0.500 0.746
8 Bi 0.755 0.000 0.256